First-principles (PBE) data for TaCd2Ag after structural relaxation, as listed in Alexandria.

Calculated values
polymorph energy (0 for the lowest one): 5.16 kcal/mol of atoms
Fermi-level density of states: 2.64 states/eV/cell
VASP energy: -15.04 eV per formula unit
energy of formation from the pure elements: 373 meV/atom

Cell lengths 5.9736, 5.9736, 5.9736 Å; angles 152.12, 127.83, 60.18 degrees
Element x y z (fractional)
1 Cd 0.4928 0.4928 0.0000
2 Cd 0.0072 0.0072 0.0000
3 Ta 0.7500 0.2500 0.5000
4 Ag 0.2500 0.7500 0.5000

---

First-principles (PBE) data for HoZn4Co2 after structural relaxation, as listed in Alexandria.

Calculated values
Fermi-level density of states: 4.26 states/eV/cell
VASP energy: -25.18 eV per formula unit
energy of formation from the pure elements: -185 meV/atom

Cell lengths 4.9477, 5.2061, 5.2061 Å; angles 77.02, 61.73, 61.73 degrees
Element x y z (fractional)
1 Zn 0.3059 0.0000 0.3883
2 Zn 0.6941 0.6117 0.0000
3 Co 0.2497 0.5002 0.5002
4 Zn 0.6941 0.0000 0.6117
5 Ho 0.0000 0.0000 0.0000
6 Co 0.7503 0.4998 0.4998
7 Zn 0.3059 0.3883 0.0000

---

First-principles (PBE) data for Ir4OsPb after structural relaxation, as listed in Alexandria.

Calculated values
Fermi-level density of states: 9.83 states/eV/cell
VASP energy: -45.11 eV per formula unit
energy of formation from the pure elements: 878 meV/atom

Cell lengths 5.2585, 5.2585, 5.2585 Å; angles 60.00, 60.00, 60.00 degrees
Element x y z (fractional)
1 Pb 0.0000 0.0000 0.0000
2 Ir 0.3757 0.3757 0.3757
3 Ir 0.3757 0.8730 0.3757
4 Os 0.7500 0.7500 0.7500
5 Ir 0.3757 0.3757 0.8730
6 Ir 0.8730 0.3757 0.3757

---

First-principles (PBE) data for TiVGe2B after structural relaxation, as listed in Alexandria.

Calculated values
Fermi-level density of states: 4.38 states/eV/cell
VASP energy: -27.06 eV per formula unit
energy of formation from the pure elements: 1173 meV/atom

Cell lengths 4.7192, 4.3747, 4.7192 Å; angles 90.00, 90.00, 90.00 degrees
Element x y z (fractional)
1 Ge 0.5000 0.0000 0.0000
2 B 0.5000 0.5000 0.5000
3 Ti 0.0000 0.5000 0.0000
4 V 0.0000 0.0000 0.0000
5 Ge 0.0000 0.0000 0.5000

---

Repeat the fourth record exactly.
First-principles (PBE) data for TiVGe2B after structural relaxation, as listed in Alexandria.

Calculated values
Fermi-level density of states: 4.38 states/eV/cell
VASP energy: -27.06 eV per formula unit
energy of formation from the pure elements: 1173 meV/atom

Cell lengths 4.7192, 4.3747, 4.7192 Å; angles 90.00, 90.00, 90.00 degrees
Element x y z (fractional)
1 Ge 0.5000 0.0000 0.0000
2 B 0.5000 0.5000 0.5000
3 Ti 0.0000 0.5000 0.0000
4 V 0.0000 0.0000 0.0000
5 Ge 0.0000 0.0000 0.5000

---

Question: Look up the Fermi-level density of states of the second one.
Answer: 4.26 states/eV/cell

---

Copy entry 2 word for word.
First-principles (PBE) data for HoZn4Co2 after structural relaxation, as listed in Alexandria.

Calculated values
Fermi-level density of states: 4.26 states/eV/cell
VASP energy: -25.18 eV per formula unit
energy of formation from the pure elements: -185 meV/atom

Cell lengths 4.9477, 5.2061, 5.2061 Å; angles 77.02, 61.73, 61.73 degrees
Element x y z (fractional)
1 Zn 0.3059 0.0000 0.3883
2 Zn 0.6941 0.6117 0.0000
3 Co 0.2497 0.5002 0.5002
4 Zn 0.6941 0.0000 0.6117
5 Ho 0.0000 0.0000 0.0000
6 Co 0.7503 0.4998 0.4998
7 Zn 0.3059 0.3883 0.0000

---

Question: What is the Fermi-level density of states in the first record?
Answer: 2.64 states/eV/cell